--- one ---
ZrTl2Ru | GGA-PBE | relaxed

## Properties
Fermi-level density of states in states/eV/cell: 3.94
Space group: No. 166
Total moment in μB per formula unit: 0.37

Cell lengths 9.529, 9.529, 9.529 Å; angles 19.53, 19.53, 19.53 degrees
Fractional coordinates of all 4 atoms:
Tl 0.008 0.008 0.008
Zr 0.250 0.250 0.250
Tl 0.492 0.492 0.492
Ru 0.750 0.750 0.750

***

--- two ---
ZrTl2Ru | GGA-PBE | relaxed

## Properties
Fermi-level density of states in states/eV/cell: 3.50
Space group: No. 71
Total moment in μB per formula unit: 0.00

Cell lengths 5.818, 5.818, 5.818 Å; angles 147.01, 127.34, 63.56 degrees
Fractional coordinates of all 4 atoms:
Tl 0.019 0.019 0.000
Ru 0.250 0.750 0.500
Tl 0.481 0.481 0.000
Zr 0.750 0.250 0.500

***

Preferred: two; penalty for the next structure: 0.127 eV/atom.

***

--- one ---
ZrTlRu3 | GGA-PBE | relaxed

## Properties
Fermi-level density of states in states/eV/cell: 5.51
Space group: No. 221
Total moment in μB per formula unit: 3.00

Cell lengths 4.844, 4.844, 4.844 Å; angles 90.00, 90.00, 90.00 degrees
Fractional coordinates of all 5 atoms:
Zr 0.000 0.000 0.000
Tl 0.500 0.500 0.500
Ru 0.500 0.000 0.000
Ru 0.000 0.000 0.500
Ru 0.000 0.500 0.000

***

--- two ---
ZrTlRu3 | GGA-PBE | relaxed

## Properties
Fermi-level density of states in states/eV/cell: 7.54
Space group: No. 221
Total moment in μB per formula unit: 0.00

Cell lengths 4.834, 4.834, 4.834 Å; angles 90.00, 90.00, 90.00 degrees
Fractional coordinates of all 5 atoms:
Ru 0.500 0.000 0.000
Ru 0.000 0.000 0.500
Ru 0.000 0.500 0.000
Tl 0.000 0.000 0.000
Zr 0.500 0.500 0.500

***

Preferred: one; penalty for the next structure: 0.394 eV/atom.